# 1
# In2CuPdS4

In2CuPdS4 after structural relaxation (PBE-GGA, the Alexandria database). Values from VASP.

```
&SYSTEM
  ibrav = 0, nat = 16, ntyp = 4
/
ATOMIC_SPECIES
In 114.82 In.upf
Cu 63.55 Cu.upf
Pd 106.42 Pd.upf
S 32.06 S.upf
CELL_PARAMETERS angstrom
7.865 0.000 0.000
0.000 6.905 0.000
0.000 0.000 6.643
ATOMIC_POSITIONS crystal
In 0.250 0.168 0.000
In 0.250 0.832 0.500
In 0.750 0.168 0.000
In 0.750 0.832 0.500
Cu 0.000 0.323 0.498
Cu 0.500 0.677 0.998
Pd 0.000 0.662 0.006
Pd 0.500 0.338 0.506
S 0.000 0.340 0.847
S 0.000 0.639 0.372
S 0.245 0.181 0.383
S 0.255 0.819 0.883
S 0.500 0.361 0.872
S 0.500 0.660 0.347
S 0.745 0.819 0.883
S 0.755 0.181 0.383
```

Results
Energy relative to the elements, uncorrected (eV/atom): -0.368
Total DFT energy (no corrections) (eV/atom): -4.277
Magnetization (μB per atom): 0.000
SG: Pmn2_1

# 2
# Nd6Ge2SeBr3

Nd6Ge2SeBr3 after structural relaxation (PBE-GGA, the Alexandria database). Values from VASP.

```
&SYSTEM
  ibrav = 0, nat = 12, ntyp = 4
/
ATOMIC_SPECIES
Nd 144.24 Nd.upf
Ge 72.64 Ge.upf
Se 78.96 Se.upf
Br 79.90 Br.upf
CELL_PARAMETERS angstrom
3.711 -6.430 0.000
3.711 6.430 0.000
-2.473 0.000 7.274
ATOMIC_POSITIONS crystal
Nd 0.091 0.430 0.788
Nd 0.232 0.232 0.212
Nd 0.430 0.091 0.788
Nd 0.570 0.909 0.212
Nd 0.768 0.768 0.788
Nd 0.909 0.570 0.212
Ge 0.167 0.833 0.000
Ge 0.833 0.167 0.000
Se 0.500 0.500 0.000
Br 0.000 0.000 0.500
Br 0.331 0.669 0.500
Br 0.669 0.331 0.500
```

Results
Energy relative to the elements, uncorrected (eV/atom): -1.284
Total DFT energy (no corrections) (eV/atom): -5.146
Magnetization (μB per atom): 0.000
SG: C2/m

# 3
# Li12Cd6Sn

Li12Cd6Sn after structural relaxation (PBE-GGA, the Alexandria database). Values from VASP.

```
&SYSTEM
  ibrav = 0, nat = 19, ntyp = 3
/
ATOMIC_SPECIES
Li 6.94 Li.upf
Cd 112.41 Cd.upf
Sn 118.71 Sn.upf
CELL_PARAMETERS angstrom
5.178 2.989 4.047
-5.178 2.989 4.047
0.000 -5.979 4.047
ATOMIC_POSITIONS crystal
Li 0.030 0.298 0.935
Li 0.065 0.970 0.702
Li 0.130 0.350 0.465
Li 0.298 0.935 0.030
Li 0.350 0.465 0.130
Li 0.465 0.130 0.350
Li 0.535 0.870 0.650
Li 0.650 0.535 0.870
Li 0.702 0.065 0.970
Li 0.870 0.650 0.535
Li 0.935 0.030 0.298
Li 0.970 0.702 0.065
Cd 0.213 0.617 0.783
Cd 0.217 0.787 0.383
Cd 0.383 0.217 0.787
Cd 0.617 0.783 0.213
Cd 0.783 0.213 0.617
Cd 0.787 0.383 0.217
Sn 0.500 0.500 0.500
```

Results
Total DFT energy (no corrections) (eV/atom): -1.903
Magnetization (μB per atom): 0.000
Formation energy from the elements (eV/f.u.): -3.695
SG: R-3

# 4
# Be2AlP

Be2AlP after structural relaxation (PBE-GGA, the Alexandria database). Values from VASP.

```
&SYSTEM
  ibrav = 0, nat = 4, ntyp = 3
/
ATOMIC_SPECIES
Be 9.01 Be.upf
Al 26.98 Al.upf
P 30.97 P.upf
CELL_PARAMETERS angstrom
0.000 2.888 2.888
2.888 0.000 2.888
2.888 2.888 0.000
ATOMIC_POSITIONS crystal
Be 0.000 0.000 0.000
Be 0.250 0.250 0.250
Al 0.500 0.500 0.500
P 0.750 0.750 0.750
```

Results
Total DFT energy (no corrections) (eV/atom): -3.603
Magnetization (μB per atom): 0.000
Formation energy from the elements (eV/f.u.): 2.193
SG: F-43m

# 5
# Tm2TeS

Tm2TeS after structural relaxation (PBE-GGA, the Alexandria database). Values from VASP.

```
&SYSTEM
  ibrav = 0, nat = 4, ntyp = 3
/
ATOMIC_SPECIES
Tm 168.93 Tm.upf
Te 127.60 Te.upf
S 32.06 S.upf
CELL_PARAMETERS angstrom
1.976 1.141 7.033
-1.976 1.141 7.033
0.000 -2.282 7.033
ATOMIC_POSITIONS crystal
Tm 0.000 0.000 0.000
Tm 0.195 0.195 0.195
Te 0.765 0.765 0.765
S 0.595 0.595 0.595
```

Results
Energy relative to the elements, uncorrected (eV/atom): -1.603
Total DFT energy (no corrections) (eV/atom): -5.656
Magnetization (μB per atom): 0.000
SG: R3m

# 6
# ZnTeIr2

ZnTeIr2 after structural relaxation (PBE-GGA, the Alexandria database). Values from VASP.

```
&SYSTEM
  ibrav = 0, nat = 4, ntyp = 3
/
ATOMIC_SPECIES
Zn 65.41 Zn.upf
Te 127.60 Te.upf
Ir 192.22 Ir.upf
CELL_PARAMETERS angstrom
-1.928 1.928 4.439
1.928 -1.928 4.439
1.928 1.928 -4.439
ATOMIC_POSITIONS crystal
Zn 0.000 0.000 0.000
Te 0.750 0.250 0.500
Ir 0.250 0.750 0.500
Ir 0.500 0.500 0.000
```

Results
Energy relative to the elements, uncorrected (eV/atom): 0.320
Total DFT energy (no corrections) (eV/atom): -5.215
Magnetization (μB per atom): 0.000
SG: I-4m2

# 7
# RbEr4TmSe8

RbEr4TmSe8 after structural relaxation (PBE-GGA, the Alexandria database). Values from VASP.

```
&SYSTEM
  ibrav = 0, nat = 14, ntyp = 4
/
ATOMIC_SPECIES
Rb 85.47 Rb.upf
Er 167.26 Er.upf
Tm 168.93 Tm.upf
Se 78.96 Se.upf
CELL_PARAMETERS angstrom
4.290 2.477 6.986
-4.290 2.477 6.986
0.000 -4.953 6.986
ATOMIC_POSITIONS crystal
Rb 0.000 0.000 0.000
Er 0.371 0.371 0.891
Er 0.371 0.891 0.371
Er 0.751 0.751 0.751
Er 0.891 0.371 0.371
Tm 0.371 0.371 0.371
Se 0.143 0.143 0.143
Se 0.144 0.144 0.571
Se 0.144 0.571 0.144
Se 0.148 0.618 0.618
Se 0.571 0.144 0.144
Se 0.618 0.148 0.618
Se 0.618 0.618 0.148
Se 0.618 0.618 0.618
```

Results
Energy relative to the elements, uncorrected (eV/atom): -1.700
Total DFT energy (no corrections) (eV/atom): -5.384
Magnetization (μB per atom): 0.000
SG: R3m

# 8
# Cs3KAu

Cs3KAu after structural relaxation (PBE-GGA, the Alexandria database). Values from VASP.

```
&SYSTEM
  ibrav = 0, nat = 10, ntyp = 3
/
ATOMIC_SPECIES
Cs 132.91 Cs.upf
K 39.10 K.upf
Au 196.97 Au.upf
CELL_PARAMETERS angstrom
5.158 2.978 8.416
-5.158 2.978 8.416
0.000 -5.956 8.416
ATOMIC_POSITIONS crystal
Cs 0.241 0.750 0.259
Cs 0.250 0.741 0.759
Cs 0.259 0.241 0.750
Cs 0.741 0.759 0.250
Cs 0.750 0.259 0.241
Cs 0.759 0.250 0.741
K 0.250 0.250 0.250
K 0.750 0.750 0.750
Au 0.000 0.000 0.000
Au 0.500 0.500 0.500
```

Results
Total DFT energy (no corrections) (eV/atom): -1.521
Magnetization (μB per atom): 0.000
Formation energy from the elements (eV/f.u.): -0.671
SG: R-3c

# 9
# KScMn2

KScMn2 after structural relaxation (PBE-GGA, the Alexandria database). Values from VASP.

```
&SYSTEM
  ibrav = 0, nat = 4, ntyp = 3
/
ATOMIC_SPECIES
K 39.10 K.upf
Sc 44.96 Sc.upf
Mn 54.94 Mn.upf
CELL_PARAMETERS angstrom
0.000 3.601 3.601
3.601 0.000 3.601
3.601 3.601 0.000
ATOMIC_POSITIONS crystal
K 0.000 0.000 0.000
Sc 0.500 0.500 0.500
Mn 0.250 0.250 0.250
Mn 0.750 0.750 0.750
```

Results
Total DFT energy (no corrections) (eV/atom): -5.456
Magnetization (μB per atom): 1.674
Formation energy from the elements (eV/f.u.): 3.943
SG: Fm-3m